Entry 1:
NaAgSeN2: relaxed, PBE-GGA.

Output
- polymorph energy (0 for the lowest one) (kJ/mol of atoms) = 50.1
- magnetization (μB/f.u.) = 5.6
- space-group type = P4/mmm
- raw formation energy (eV/atom) = 1.889

Unit cell a=4.372 b=4.372 c=5.710 alpha=90.00 beta=90.00 gamma=90.00
Element x y z (fractional)
Na 0.000 0.000 0.000
Se 0.000 0.000 0.500
Ag 0.500 0.500 0.500
N 0.000 0.500 0.000
N 0.500 0.000 0.000

Entry 2:
NaAgSeN2: relaxed, PBE-GGA.

Output
- polymorph energy (0 for the lowest one) (kJ/mol of atoms) = 0.0
- magnetization (μB/f.u.) = 4.2
- space-group type = P4/mmm
- raw formation energy (eV/atom) = 1.370

Unit cell a=4.250 b=4.250 c=5.531 alpha=90.00 beta=90.00 gamma=90.00
Element x y z (fractional)
Na 0.500 0.500 0.500
Se 0.000 0.000 0.500
Ag 0.000 0.000 0.000
N 0.000 0.500 0.000
N 0.500 0.000 0.000

Entry 3:
NaTcAg2N: relaxed, PBE-GGA.

Output
- magnetization (μB/f.u.) = 3.2
- space-group type = P4/mmm
- raw formation energy (eV/atom) = 2.376

Unit cell a=5.170 b=5.978 c=5.170 alpha=90.00 beta=90.00 gamma=90.00
Element x y z (fractional)
Na 0.000 0.500 0.000
Tc 0.000 0.000 0.000
Ag 0.000 0.000 0.500
Ag 0.500 0.000 0.000
N 0.500 0.500 0.500

Entry 4:
NaAgTe2N: relaxed, PBE-GGA.

Output
- polymorph energy (0 for the lowest one) (kJ/mol of atoms) = 51.3
- magnetization (μB/f.u.) = 3.0
- space-group type = P4/mmm
- raw formation energy (eV/atom) = 1.210

Unit cell a=5.611 b=5.611 c=4.348 alpha=90.00 beta=90.00 gamma=90.00
Element x y z (fractional)
Na 0.000 0.000 0.000
Te 0.000 0.500 0.000
Te 0.500 0.000 0.000
Ag 0.500 0.500 0.500
N 0.000 0.000 0.500